Model 1:
The following is a DFT calculation (GGA-PBE) of FeNi4 after structural relaxation.

Computed properties:
For the density of states at the Fermi level, the calculation gives 1.399 states/eV/atom. The calculated density is 8736 kg/m³. The magnetic moment comes out at 5.09 μB/f.u.

a b c (Å): 5.5817 5.5817 3.5462
angles (deg): 90.00 90.00 90.00
With the nearest neighbours (Å) after each atom.
Space group I4/m (No. 87)
Symmetry-distinct sites (fractional):
1 Fe 0.0000 0.0000 0.0000 [2 per cell]  12 Ni 2.49-2.51
2 Ni 0.1006 0.3007 0.5000 [8 per cell]  3 Fe 2.49-2.51, 9 Ni 2.49-2.50

***

Model 2:
The following is a DFT calculation (GGA-PBE) of FeNi4 after structural relaxation.

Computed properties:
For the density of states at the Fermi level, the calculation gives 1.969 states/eV/atom. The calculated density is 6419 kg/m³. The magnetic moment comes out at 5.36 μB/f.u.

a b c (Å): 4.2206 4.2206 4.2206
angles (deg): 90.00 90.00 90.00
With the nearest neighbours (Å) after each atom.
Space group Pm-3m (No. 221)
Symmetry-distinct sites (fractional):
1 Fe 0.0000 0.0000 0.0000 [1 per cell]  6 Ni 2.11
2 Ni 0.0000 0.0000 0.5000 [3 per cell]  2 Fe 2.11
3 Ni 0.5000 0.5000 0.5000 [1 per cell]  12 Ni 2.98

***

model 1 is the most stable structure; the next one sits 120.9 kJ/mol of atoms above it.

***

Model 1:
The following is a DFT calculation (GGA-PBE) of FeNi4 after structural relaxation.

Computed properties:
For the density of states at the Fermi level, the calculation gives 1.450 states/eV/atom. The calculated density is 7838 kg/m³. The magnetic moment comes out at 5.78 μB/f.u.

a b c (Å): 3.2620 3.2620 11.5729
angles (deg): 90.00 90.00 90.00
With the nearest neighbours (Å) after each atom.
Space group I4/mmm (No. 139)
Symmetry-distinct sites (fractional):
1 Fe 0.0000 0.0000 0.0000 [2 per cell]  8 Ni 2.57
2 Ni 0.0000 0.0000 0.4016 [4 per cell]  5 Ni 2.28-2.40
3 Ni 0.0000 0.5000 0.2500 [4 per cell]  8 Ni 2.31-2.40

***

Model 2:
The following is a DFT calculation (GGA-PBE) of FeNi4 after structural relaxation.

Computed properties:
For the density of states at the Fermi level, the calculation gives 1.170 states/eV/atom. The calculated density is 8743 kg/m³. The magnetic moment comes out at 5.14 μB/f.u.

a b c (Å): 2.4893 3.5452 12.5094
angles (deg): 90.00 90.00 90.00
With the nearest neighbours (Å) after each atom.
Space group Immm (No. 71)
Symmetry-distinct sites (fractional):
1 Fe 0.0000 0.0000 0.0000 [2 per cell]  2 Fe 2.49, 10 Ni 2.50-2.51
2 Ni 0.0000 0.0000 0.2010 [4 per cell]  11 Ni 2.49-2.51, 1 Fe 2.51
3 Ni 0.0000 0.0000 0.3998 [4 per cell]  8 Ni 2.49-2.51, 4 Fe 2.50

***

Model 3:
The following is a DFT calculation (GGA-PBE) of FeNi4 after structural relaxation.

Computed properties:
For the density of states at the Fermi level, the calculation gives 1.465 states/eV/atom. The calculated density is 7358 kg/m³. The magnetic moment comes out at 5.90 μB/f.u.

a b c (Å): 4.3006 4.3006 7.0924
angles (deg): 90.00 90.00 90.00
With the nearest neighbours (Å) after each atom.
Space group I4/mmm (No. 139)
Symmetry-distinct sites (fractional):
1 Fe 0.0000 0.0000 0.0000 [2 per cell]  2 Ni 2.48
2 Ni 0.0000 0.0000 0.3497 [4 per cell]  5 Ni 2.13-2.26
3 Ni 0.0000 0.5000 0.2500 [4 per cell]  4 Ni 2.26

***

model 2 is the most stable structure; the next one sits 36.3 kJ/mol of atoms above it.

***

Model 1:
The following is a DFT calculation (GGA-PBE) of Fe5Ni7 after structural relaxation.

Computed properties:
For the density of states at the Fermi level, the calculation gives 0.821 states/eV/atom. The calculated density is 8492 kg/m³. The magnetic moment comes out at 17.76 μB/f.u.

a b c (Å): 10.5504 3.5342 7.2378
angles (deg): 90.00 90.55 90.00
With the nearest neighbours (Å) after each atom.
Space group C2/m (No. 12)
Symmetry-distinct sites (fractional):
1 Fe 0.0000 0.0000 0.0000 [2 per cell]  2 Fe 2.48, 10 Ni 2.49-2.53
2 Fe 0.1635 0.5000 0.5070 [4 per cell]  7 Ni 2.47-2.60, 5 Fe 2.53-2.60
3 Fe 0.1676 0.0000 0.2434 [4 per cell]  4 Fe 2.48-2.60, 8 Ni 2.49-2.58
4 Ni 0.0000 0.0000 0.5000 [2 per cell]  6 Fe 2.47-2.58, 6 Ni 2.51-2.53
5 Ni 0.0017 0.5000 0.2508 [4 per cell]  6 Fe 2.48-2.53, 6 Ni 2.50-2.53
6 Ni 0.1665 0.0000 0.7502 [4 per cell]  6 Fe 2.49-2.60, 6 Ni 2.50-2.53
7 Ni 0.1667 0.5000 0.0004 [4 per cell]  7 Ni 2.49-2.53, 5 Fe 2.49-2.50

***

Model 2:
The following is a DFT calculation (GGA-PBE) of Fe5Ni7 after structural relaxation.

Computed properties:
For the density of states at the Fermi level, the calculation gives 0.886 states/eV/atom. The calculated density is 8495 kg/m³. The magnetic moment comes out at 17.19 μB/f.u.

a b c (Å): 13.0201 2.5101 9.2951
angles (deg): 90.00 117.37 90.00
With the nearest neighbours (Å) after each atom.
Space group C2/m (No. 12)
Symmetry-distinct sites (fractional):
1 Fe 0.0000 0.0000 0.0000 [2 per cell]  10 Ni 2.50-2.53, 2 Fe 2.51
2 Fe 0.1632 0.0000 0.4902 [4 per cell]  6 Ni 2.47-2.62, 6 Fe 2.51-2.59
3 Fe 0.1972 0.5000 0.7518 [4 per cell]  8 Ni 2.49-2.56, 4 Fe 2.51-2.59
4 Ni 0.0000 0.5000 0.5000 [2 per cell]  6 Ni 2.51, 6 Fe 2.51-2.56
5 Ni 0.0304 0.0000 0.7497 [4 per cell]  4 Fe 2.48-2.53, 8 Ni 2.51-2.53
6 Ni 0.1376 0.5000 0.2475 [4 per cell]  7 Fe 2.47-2.62, 5 Ni 2.51-2.53
7 Ni 0.1659 0.5000 0.9983 [4 per cell]  5 Fe 2.50-2.52, 7 Ni 2.51

***

model 1 is the most stable structure; the next one sits 1.2 kJ/mol of atoms above it.

***

Model 1:
The following is a DFT calculation (GGA-PBE) of Fe4Ni5 after structural relaxation.

Computed properties:
For the density of states at the Fermi level, the calculation gives 0.806 states/eV/atom. The calculated density is 8317 kg/m³. The magnetic moment comes out at 14.08 μB/f.u.

a b c (Å): 6.9881 6.9881 4.8802
angles (deg): 90.00 90.00 120.00
With the nearest neighbours (Å) after each atom.
Space group P6_3/mcm (No. 193)
Symmetry-distinct sites (fractional):
1 Fe 0.0000 0.0000 0.0000 [2 per cell]  8 Fe 2.44-2.60, 6 Ni 2.66
2 Fe 0.0000 0.3288 0.2500 [6 per cell]  5 Ni 2.33-2.44, 2 Fe 2.60
3 Ni 0.0000 0.3375 0.7500 [6 per cell]  5 Fe 2.33-2.44
4 Ni 0.3333 0.6667 0.0000 [4 per cell]  8 Ni 2.44-2.62, 6 Fe 2.64

***

Model 2:
The following is a DFT calculation (GGA-PBE) of Fe4Ni5 after structural relaxation.

Computed properties:
For the density of states at the Fermi level, the calculation gives 0.968 states/eV/atom. The calculated density is 8379 kg/m³. The magnetic moment comes out at 13.67 μB/f.u.

a b c (Å): 2.5526 8.9540 8.9631
angles (deg): 90.00 90.00 90.00
With the nearest neighbours (Å) after each atom.
Space group Immm (No. 71)
Symmetry-distinct sites (fractional):
1 Fe 0.0000 0.1493 0.1873 [8 per cell]  6 Ni 2.45-2.50, 5 Fe 2.48-2.67
2 Ni 0.0000 0.2038 0.5000 [4 per cell]  4 Fe 2.49, 7 Ni 2.53-2.65
3 Ni 0.0000 0.5000 0.1330 [4 per cell]  7 Ni 2.38-2.55, 4 Fe 2.45
4 Ni 0.0000 0.5000 0.5000 [2 per cell]  8 Fe 2.50, 4 Ni 2.55-2.65

***

Model 3:
The following is a DFT calculation (GGA-PBE) of Fe4Ni5 after structural relaxation.

Computed properties:
For the density of states at the Fermi level, the calculation gives 1.109 states/eV/atom. The calculated density is 8447 kg/m³. The magnetic moment comes out at 13.64 μB/f.u.

a b c (Å): 7.6688 7.6688 3.4554
angles (deg): 90.00 90.00 90.00
With the nearest neighbours (Å) after each atom.
Space group I4/mmm (No. 139)
Symmetry-distinct sites (fractional):
1 Fe 0.0000 0.3284 0.0000 [8 per cell]  7 Ni 2.48-2.57, 5 Fe 2.54-2.63
2 Ni 0.0000 0.0000 0.0000 [2 per cell]  8 Ni 2.49, 4 Fe 2.52
3 Ni 0.1655 0.1655 0.5000 [8 per cell]  6 Fe 2.48-2.57, 6 Ni 2.49-2.54

***

Model 4:
The following is a DFT calculation (GGA-PBE) of Fe4Ni5 after structural relaxation.

Computed properties:
For the density of states at the Fermi level, the calculation gives 1.029 states/eV/atom. The calculated density is 8370 kg/m³. The magnetic moment comes out at 13.88 μB/f.u.

a b c (Å): 8.7852 8.7852 2.6572
angles (deg): 90.00 90.00 90.00
With the nearest neighbours (Å) after each atom.
Space group I4/m (No. 87)
Symmetry-distinct sites (fractional):
1 Fe 0.0299 0.3336 0.0000 [8 per cell]  5 Ni 2.47-2.55, 6 Fe 2.49-2.66
2 Ni 0.0000 0.0000 0.0000 [2 per cell]  10 Ni 2.46-2.66
3 Ni 0.1508 0.8192 0.5000 [8 per cell]  6 Ni 2.46-2.66, 5 Fe 2.47-2.55

***

model 3 is the most stable structure; the next one sits 5.2 kJ/mol of atoms above it.